1.
## Ti4Rh2O (PBE-GGA)

Data for a relaxed structure of Ti4Rh2O.

```
Ti4Rh2O
1.0
-2.015 2.015 6.427
2.015 -2.015 6.427
2.015 2.015 -6.427
Ti Rh O
4 2 1
direct
0.000 0.500 0.500
0.180 0.180 0.000
0.500 0.000 0.500
0.820 0.820 0.000
0.359 0.359 0.000
0.641 0.641 0.000
0.000 0.000 0.000
```

Summary:
E in eV/cell: -58.76
Magnetization in Bohr magnetons per cell: 0.0
E_form (uncorrected) in eV/atom: -1.0737
Distance to the lowest polymorph of the same formula in meV per atom: 156

---

2.
## TiRhO2 (PBE-GGA)

Data for a relaxed structure of TiRhO2.

```
TiRhO2
1.0
1.451 0.838 6.243
-1.451 0.838 6.243
0.000 -1.675 6.243
Ti Rh O
1 1 2
direct
0.000 0.000 0.000
0.500 0.500 0.500
0.391 0.391 0.391
0.609 0.609 0.609
```

Summary:
E in eV/cell: -32.62
Magnetization in Bohr magnetons per cell: 0.0
E_form (uncorrected) in eV/atom: -1.8643
Distance to the lowest polymorph of the same formula in meV per atom: 0

---

3.
## Ti6RhO (PBE-GGA)

Data for a relaxed structure of Ti6RhO.

```
Ti6RhO
1.0
4.670 0.000 0.000
-0.071 5.240 0.000
-2.109 -0.697 4.877
Ti Rh O
6 1 1
direct
0.067 0.292 0.154
0.222 0.834 0.459
0.410 0.384 0.753
0.590 0.616 0.247
0.778 0.166 0.541
0.933 0.708 0.846
0.500 0.000 0.000
0.000 0.500 0.500
```

Summary:
E in eV/cell: -66.74
Magnetization in Bohr magnetons per cell: 0.0
E_form (uncorrected) in eV/atom: -0.8831

---

4.
## TiRhO2 (PBE-GGA)

Data for a relaxed structure of TiRhO2.

```
TiRhO2
1.0
0.000 2.734 2.734
2.734 0.000 2.734
2.734 2.734 0.000
Ti Rh O
1 1 2
direct
0.000 0.000 0.000
0.500 0.500 0.500
0.250 0.250 0.250
0.750 0.750 0.750
```

Summary:
E in eV/cell: -28.83
Magnetization in Bohr magnetons per cell: 1.0
E_form (uncorrected) in eV/atom: -0.9174
Distance to the lowest polymorph of the same formula in meV per atom: 947

---

5.
## Ti4RhO (PBE-GGA)

Data for a relaxed structure of Ti4RhO.

```
Ti4RhO
1.0
5.480 0.000 0.000
0.000 5.409 0.000
-1.368 0.000 5.976
Ti Rh O
8 2 2
direct
0.092 0.158 0.198
0.092 0.342 0.698
0.344 0.623 0.117
0.344 0.877 0.617
0.656 0.123 0.383
0.656 0.377 0.883
0.908 0.658 0.302
0.908 0.842 0.802
0.500 0.000 0.000
0.500 0.500 0.500
0.000 0.000 0.500
0.000 0.500 0.000
```

Summary:
E in eV/cell: -99.71
Magnetization in Bohr magnetons per cell: 0.0
E_form (uncorrected) in eV/atom: -0.9942

---

6.
## Ti5Rh3O12 (PBE-GGA)

Data for a relaxed structure of Ti5Rh3O12.

```
Ti5Rh3O12
1.0
-6.265 6.265 6.265
6.265 -6.265 6.265
6.265 6.265 -6.265
Ti Rh O
20 12 48
direct
0.000 0.000 0.000
0.000 0.000 0.500
0.000 0.500 0.000
0.000 0.500 0.500
0.125 0.750 0.875
0.125 0.875 0.250
0.250 0.125 0.875
0.250 0.625 0.375
0.375 0.250 0.625
0.375 0.625 0.750
0.500 0.000 0.000
0.500 0.000 0.500
0.500 0.500 0.000
0.500 0.500 0.500
0.625 0.375 0.250
0.625 0.750 0.375
0.750 0.375 0.625
0.750 0.875 0.125
0.875 0.125 0.750
0.875 0.250 0.125
0.125 0.250 0.375
0.125 0.375 0.750
0.250 0.375 0.125
0.250 0.875 0.625
0.375 0.125 0.250
0.375 0.750 0.125
0.625 0.250 0.875
0.625 0.875 0.750
0.750 0.125 0.375
0.750 0.625 0.875
0.875 0.625 0.250
0.875 0.750 0.625
0.016 0.197 0.111
0.016 0.320 0.906
0.086 0.697 0.680
0.086 0.889 0.406
0.094 0.611 0.414
0.094 0.984 0.680
0.111 0.016 0.197
0.111 0.594 0.914
0.180 0.197 0.586
0.180 0.484 0.594
0.197 0.111 0.016
0.197 0.586 0.180
0.303 0.320 0.914
0.303 0.484 0.389
0.320 0.906 0.016
0.320 0.914 0.303
0.389 0.303 0.484
0.389 0.586 0.906
0.406 0.086 0.889
0.406 0.820 0.516
0.414 0.094 0.611
0.414 0.820 0.803
0.484 0.389 0.303
0.484 0.594 0.180
0.516 0.406 0.820
0.516 0.611 0.697
0.586 0.180 0.197
0.586 0.906 0.389
0.594 0.180 0.484
0.594 0.914 0.111
0.611 0.414 0.094
0.611 0.697 0.516
0.680 0.086 0.697
0.680 0.094 0.984
0.697 0.516 0.611
0.697 0.680 0.086
0.803 0.414 0.820
0.803 0.889 0.984
0.820 0.516 0.406
0.820 0.803 0.414
0.889 0.406 0.086
0.889 0.984 0.803
0.906 0.016 0.320
0.906 0.389 0.586
0.914 0.111 0.594
0.914 0.303 0.320
0.984 0.680 0.094
0.984 0.803 0.889
```

Summary:
E in eV/cell: -638.95
Magnetization in Bohr magnetons per cell: 27.9
E_form (uncorrected) in eV/atom: -1.9355

---

7.
## Ti4Rh2O (PBE-GGA)

Data for a relaxed structure of Ti4Rh2O.

```
Ti4Rh2O
1.0
0.000 5.820 5.820
5.820 0.000 5.820
5.820 5.820 0.000
Ti Rh O
16 8 4
direct
0.000 0.000 0.000
0.000 0.000 0.500
0.000 0.500 0.000
0.193 0.193 0.557
0.193 0.557 0.193
0.193 0.557 0.557
0.443 0.443 0.807
0.443 0.807 0.443
0.443 0.807 0.807
0.500 0.000 0.000
0.557 0.193 0.193
0.557 0.193 0.557
0.557 0.557 0.193
0.807 0.443 0.443
0.807 0.443 0.807
0.807 0.807 0.443
0.149 0.784 0.784
0.216 0.216 0.216
0.216 0.216 0.851
0.216 0.851 0.216
0.784 0.149 0.784
0.784 0.784 0.149
0.784 0.784 0.784
0.851 0.216 0.216
0.000 0.500 0.500
0.500 0.000 0.500
0.500 0.500 0.000
0.500 0.500 0.500
```

Summary:
E in eV/cell: -239.40
Magnetization in Bohr magnetons per cell: 0.0
E_form (uncorrected) in eV/atom: -1.2300
Distance to the lowest polymorph of the same formula in meV per atom: 0

---

8.
## Ti12Rh6O (PBE-GGA)

Data for a relaxed structure of Ti12Rh6O.

```
Ti12Rh6O
1.0
5.341 3.084 3.179
-5.341 3.084 3.179
0.000 -6.167 3.179
Ti Rh O
12 6 1
direct
0.019 0.064 0.310
0.064 0.310 0.019
0.183 0.538 0.413
0.310 0.019 0.064
0.413 0.183 0.538
0.462 0.587 0.817
0.538 0.413 0.183
0.587 0.817 0.462
0.690 0.981 0.936
0.817 0.462 0.587
0.936 0.690 0.981
0.981 0.936 0.690
0.127 0.316 0.666
0.316 0.666 0.127
0.334 0.873 0.684
0.666 0.127 0.316
0.684 0.334 0.873
0.873 0.684 0.334
0.000 0.000 0.000
```

Summary:
E in eV/cell: -153.12
Magnetization in Bohr magnetons per cell: 0.0
E_form (uncorrected) in eV/atom: -0.4900

---

9.
## TiTl2Rh2O6 (PBE-GGA)

Data for a relaxed structure of TiTl2Rh2O6.

```
TiTl2Rh2O6
1.0
2.677 -4.679 0.000
2.677 4.679 0.000
-2.087 0.000 6.499
Ti Tl Rh O
1 2 2 6
direct
0.000 0.000 0.000
0.169 0.831 0.500
0.831 0.169 0.500
0.334 0.666 0.000
0.666 0.334 0.000
0.059 0.383 0.157
0.262 0.262 0.842
0.383 0.059 0.157
0.617 0.941 0.843
0.738 0.738 0.158
0.941 0.617 0.843
```

Summary:
E in eV/cell: -70.93
Magnetization in Bohr magnetons per cell: 0.0
E_form (uncorrected) in eV/atom: -1.2587

---

10.
## YTi2RhO (PBE-GGA)

Data for a relaxed structure of YTi2RhO.

```
YTi2RhO
1.0
4.090 0.000 0.000
0.000 4.090 0.000
0.000 0.000 4.758
Y Ti Rh O
1 2 1 1
direct
0.000 0.000 0.000
0.000 0.500 0.500
0.500 0.000 0.500
0.500 0.500 0.000
0.000 0.000 0.500
```

Summary:
E in eV/cell: -40.80
Magnetization in Bohr magnetons per cell: 1.3
E_form (uncorrected) in eV/atom: -1.2465

---

11.
## ZrTi2RhO (PBE-GGA)

Data for a relaxed structure of ZrTi2RhO.

```
ZrTi2RhO
1.0
4.075 0.000 0.000
0.000 4.075 0.000
0.000 0.000 4.471
Zr Ti Rh O
1 2 1 1
direct
0.000 0.000 0.000
0.000 0.500 0.500
0.500 0.000 0.500
0.500 0.500 0.000
0.000 0.000 0.500
```

Summary:
E in eV/cell: -43.16
Magnetization in Bohr magnetons per cell: 0.0
E_form (uncorrected) in eV/atom: -1.3022

---

12.
## TlRhO (PBE-GGA)

Data for a relaxed structure of TlRhO.

```
TlRhO
1.0
5.577 0.000 0.000
-1.213 6.127 0.000
-0.755 -1.862 9.153
Tl Rh O
6 6 6
direct
0.073 0.401 0.208
0.184 0.935 0.270
0.344 0.309 0.588
0.656 0.691 0.412
0.816 0.065 0.730
0.927 0.599 0.792
0.000 0.000 0.000
0.163 0.677 0.473
0.384 0.905 0.867
0.500 0.500 0.000
0.616 0.095 0.133
0.837 0.323 0.527
0.223 0.911 0.660
0.267 0.203 0.915
0.474 0.607 0.813
0.526 0.393 0.187
0.733 0.797 0.085
0.777 0.089 0.340
```

Summary:
E in eV/cell: -93.04
Magnetization in Bohr magnetons per cell: 0.0
E_form (uncorrected) in eV/atom: -0.2769

---

13.
## TlRhO2 (PBE-GGA)

Data for a relaxed structure of TlRhO2.

```
TlRhO2
1.0
0.000 2.942 2.942
2.942 0.000 2.942
2.942 2.942 0.000
Tl Rh O
1 1 2
direct
0.000 0.000 0.000
0.500 0.500 0.500
0.250 0.250 0.250
0.750 0.750 0.750
```

Summary:
E in eV/cell: -19.04
Magnetization in Bohr magnetons per cell: 1.9
E_form (uncorrected) in eV/atom: 0.1496

---

14.
## TlRhO2 (PBE-GGA)

Data for a relaxed structure of TlRhO2.

```
TlRhO2
1.0
3.499 -3.031 0.000
3.499 3.031 0.000
-1.781 0.000 5.556
Tl Rh O
2 2 4
direct
0.156 0.844 0.750
0.844 0.156 0.250
0.400 0.600 0.250
0.600 0.400 0.750
0.011 0.329 0.690
0.329 0.011 0.190
0.671 0.989 0.810
0.989 0.671 0.310
```

Summary:
E in eV/cell: -40.26
Magnetization in Bohr magnetons per cell: 0.0
E_form (uncorrected) in eV/atom: -0.1242

---

15.
## TlRh2O6 (PBE-GGA)

Data for a relaxed structure of TlRh2O6.

```
TlRh2O6
1.0
5.295 0.000 0.000
-2.648 4.586 0.000
0.000 0.000 4.715
Tl Rh O
1 2 6
direct
0.000 0.000 0.000
0.333 0.667 0.500
0.667 0.333 0.500
0.000 0.375 0.273
0.000 0.625 0.727
0.375 0.000 0.273
0.375 0.375 0.727
0.625 0.000 0.727
0.625 0.625 0.273
```

Summary:
E in eV/cell: -52.31
Magnetization in Bohr magnetons per cell: 1.0
E_form (uncorrected) in eV/atom: -0.6104
Distance to the lowest polymorph of the same formula in meV per atom: 0

---

16.
## TlRhO2 (PBE-GGA)

Data for a relaxed structure of TlRhO2.

```
TlRhO2
1.0
5.625 0.000 0.000
0.000 8.508 0.000
0.000 0.000 4.929
Tl Rh O
4 4 8
direct
0.051 0.124 0.000
0.449 0.624 0.500
0.551 0.376 0.000
0.949 0.876 0.500
0.075 0.426 0.569
0.425 0.926 0.069
0.575 0.074 0.569
0.925 0.574 0.069
0.132 0.388 0.169
0.192 0.748 0.165
0.308 0.248 0.665
0.368 0.888 0.669
0.632 0.112 0.169
0.692 0.752 0.165
0.808 0.252 0.665
0.868 0.612 0.669
```

Summary:
E in eV/cell: -85.23
Magnetization in Bohr magnetons per cell: 0.0
E_form (uncorrected) in eV/atom: -0.4184

---

17.
## TlRhO2 (PBE-GGA)

Data for a relaxed structure of TlRhO2.

```
TlRhO2
1.0
1.581 0.913 6.925
-1.581 0.913 6.925
0.000 -1.826 6.925
Tl Rh O
1 1 2
direct
0.000 0.000 0.000
0.500 0.500 0.500
0.121 0.121 0.121
0.879 0.879 0.879
```

Summary:
E in eV/cell: -22.07
Magnetization in Bohr magnetons per cell: 0.0
E_form (uncorrected) in eV/atom: -0.6101

---

18.
## TlRhO2 (PBE-GGA)

Data for a relaxed structure of TlRhO2.

```
TlRhO2
1.0
3.418 0.000 0.000
0.000 3.418 0.000
0.000 0.000 4.660
Tl Rh O
1 1 2
direct
0.000 0.000 0.000
0.500 0.500 0.500
0.000 0.000 0.500
0.500 0.500 0.000
```

Summary:
E in eV/cell: -19.86
Magnetization in Bohr magnetons per cell: 0.0
E_form (uncorrected) in eV/atom: -0.0566

---

19.
## TlRh3O (PBE-GGA)

Data for a relaxed structure of TlRh3O.

```
TlRh3O
1.0
5.056 0.000 0.000
0.000 5.056 0.000
0.000 0.000 5.056
Tl Rh O
1 3 1
direct
0.000 0.000 0.000
0.000 0.000 0.500
0.000 0.500 0.000
0.500 0.000 0.000
0.500 0.500 0.500
```

Summary:
E in eV/cell: -18.74
Magnetization in Bohr magnetons per cell: 4.2
E_form (uncorrected) in eV/atom: 2.1273
Distance to the lowest polymorph of the same formula in meV per atom: 1969

---

20.
## TlRhO2 (PBE-GGA)

Data for a relaxed structure of TlRhO2.

```
TlRhO2
1.0
-3.271 3.271 3.210
3.271 -3.271 3.210
3.271 3.271 -3.210
Tl Rh O
2 2 4
direct
0.250 0.250 0.000
0.750 0.750 0.000
0.250 0.750 0.500
0.750 0.250 0.500
0.129 0.629 0.758
0.371 0.129 0.500
0.629 0.871 0.500
0.871 0.371 0.242
```

Summary:
E in eV/cell: -40.90
Magnetization in Bohr magnetons per cell: 0.8
E_form (uncorrected) in eV/atom: -0.2035